No. 1
Be4PbBr: relaxed, PBE-GGA.

Output
The size of the total moment comes out at 0.00 μB/cell. As for the energy relative to the elements, uncorrected: 0.763 eV per atom. As for the crystal system: cubic. For the final energy, the calculation gives -2.618 eV per atom.

a = 5.1018 Å, b = 5.1018 Å, c = 5.1018 Å
α = 60.00°, β = 60.00°, γ = 60.00°
Atoms (fractional coordinates):
Be 0.3819 0.3819 0.3819
Be 0.3819 0.3819 0.8543
Be 0.3819 0.8543 0.3819
Be 0.8543 0.3819 0.3819
Pb 0.7500 0.7500 0.7500
Br 0.0000 0.0000 0.0000

=====

No. 2
Be2PbBr: relaxed, PBE-GGA.

Output
The size of the total moment comes out at 0.00 μB/cell. The value obtained for the relative energy among the computed polymorphs is 653.4 meV per atom. As for the energy relative to the elements, uncorrected: 1.012 eV per atom. As for the crystal system: cubic. For the final energy, the calculation gives -2.196 eV per atom.

a = 4.8086 Å, b = 4.8086 Å, c = 4.8086 Å
α = 60.00°, β = 60.00°, γ = 60.00°
Atoms (fractional coordinates):
Be 0.2500 0.2500 0.2500
Be 0.7500 0.7500 0.7500
Pb 0.0000 0.0000 0.0000
Br 0.5000 0.5000 0.5000

=====

No. 3
Be2PbBr: relaxed, PBE-GGA.

Output
The size of the total moment comes out at 0.00 μB/cell. The value obtained for the relative energy among the computed polymorphs is 279.6 meV per atom. As for the energy relative to the elements, uncorrected: 0.639 eV per atom. As for the crystal system: monoclinic. For the final energy, the calculation gives -2.570 eV per atom.

a = 5.1529 Å, b = 5.1529 Å, c = 3.3135 Å
α = 102.64°, β = 102.64°, γ = 88.89°
Atoms (fractional coordinates):
Be 0.0000 0.5000 0.0000
Be 0.5000 0.0000 0.0000
Pb 0.0000 0.0000 0.0000
Br 0.5000 0.5000 0.0000

=====

No. 4
Be2PbBr: relaxed, PBE-GGA.

Output
The size of the total moment comes out at 0.00 μB/cell. The value obtained for the relative energy among the computed polymorphs is 116.4 meV per atom. As for the energy relative to the elements, uncorrected: 0.475 eV per atom. As for the crystal system: monoclinic. For the final energy, the calculation gives -2.733 eV per atom.

a = 4.9754 Å, b = 4.9754 Å, c = 7.2121 Å
α = 126.35°, β = 126.35°, γ = 38.53°
Atoms (fractional coordinates):
Be 0.1668 0.1668 0.3420
Be 0.8332 0.8332 0.6580
Pb 0.5000 0.5000 0.5000
Br 0.5000 0.5000 0.0000

=====

No. 5
Be2PbBr: relaxed, PBE-GGA.

Output
The size of the total moment comes out at 0.00 μB/cell. The value obtained for the relative energy among the computed polymorphs is 369.8 meV per atom. As for the energy relative to the elements, uncorrected: 0.729 eV per atom. As for the crystal system: orthorhombic. For the final energy, the calculation gives -2.479 eV per atom.

a = 5.6954 Å, b = 5.6954 Å, c = 5.6954 Å
α = 145.98°, β = 97.56°, γ = 92.27°
Atoms (fractional coordinates):
Be 0.2414 0.0000 0.2414
Be 0.7586 0.0000 0.7586
Pb 0.5000 0.5000 0.0000
Br 0.0000 0.5000 0.5000

=====

No. 6
Be2PbBr: relaxed, PBE-GGA.

Output
The size of the total moment comes out at 0.00 μB/cell. The value obtained for the relative energy among the computed polymorphs is 180.8 meV per atom. As for the energy relative to the elements, uncorrected: 0.540 eV per atom. As for the crystal system: orthorhombic. For the final energy, the calculation gives -2.669 eV per atom.

a = 5.6447 Å, b = 5.6447 Å, c = 5.6447 Å
α = 147.37°, β = 117.96°, γ = 71.87°
Atoms (fractional coordinates):
Be 0.0000 0.0000 0.0000
Be 0.8181 0.3181 0.5000
Pb 0.5354 0.5354 0.0000
Br 0.1870 0.6870 0.5000

=====

No. 7
Be2PbBr: relaxed, PBE-GGA.

Output
The size of the total moment comes out at 0.00 μB/cell. The value obtained for the relative energy among the computed polymorphs is 9.4 meV per atom. As for the energy relative to the elements, uncorrected: 0.369 eV per atom. As for the crystal system: orthorhombic. For the final energy, the calculation gives -2.840 eV per atom.

a = 3.6968 Å, b = 3.6968 Å, c = 7.7334 Å
α = 90.00°, β = 90.00°, γ = 113.88°
Atoms (fractional coordinates):
Be 0.0000 0.0000 0.0000
Be 0.5000 0.5000 0.1069
Pb 0.5000 0.5000 0.7901
Br 0.0000 0.0000 0.3006

=====

No. 8
Be2PbBr: relaxed, PBE-GGA.

Output
The size of the total moment comes out at 0.00 μB/cell. The value obtained for the relative energy among the computed polymorphs is 405.3 meV per atom. As for the energy relative to the elements, uncorrected: 0.764 eV per atom. As for the crystal system: orthorhombic. For the final energy, the calculation gives -2.444 eV per atom.

a = 3.3831 Å, b = 3.8425 Å, c = 6.6212 Å
α = 90.00°, β = 90.00°, γ = 90.00°
Atoms (fractional coordinates):
Be 0.0000 0.0000 0.0000
Be 0.0000 0.5000 0.5000
Pb 0.5000 0.0000 0.5000
Br 0.5000 0.5000 0.0000

=====

No. 9
Be2PbBr: relaxed, PBE-GGA.

Output
The size of the total moment comes out at 0.00 μB/cell. The value obtained for the relative energy among the computed polymorphs is 687.0 meV per atom. As for the energy relative to the elements, uncorrected: 1.046 eV per atom. As for the crystal system: cubic. For the final energy, the calculation gives -2.162 eV per atom.

a = 4.9741 Å, b = 4.9741 Å, c = 4.9741 Å
α = 60.00°, β = 60.00°, γ = 60.00°
Atoms (fractional coordinates):
Be 0.0000 0.0000 0.0000
Be 0.2500 0.2500 0.2500
Pb 0.7500 0.7500 0.7500
Br 0.5000 0.5000 0.5000

=====

No. 10
Be2PbBr: relaxed, PBE-GGA.

Output
The size of the total moment comes out at 0.00 μB/cell. The value obtained for the relative energy among the computed polymorphs is 68.3 meV per atom. As for the energy relative to the elements, uncorrected: 0.427 eV per atom. As for the crystal system: monoclinic. For the final energy, the calculation gives -2.781 eV per atom.

a = 3.4611 Å, b = 4.7811 Å, c = 4.9256 Å
α = 90.00°, β = 91.28°, γ = 90.00°
Atoms (fractional coordinates):
Be 0.0000 0.0000 0.0000
Be 0.2038 0.5000 0.7158
Pb 0.1994 0.0000 0.5017
Br 0.7085 0.5000 0.0208

=====

No. 11
Be2PbBr: relaxed, PBE-GGA.

Output
The size of the total moment comes out at 0.00 μB/cell. The value obtained for the relative energy among the computed polymorphs is 97.1 meV per atom. As for the energy relative to the elements, uncorrected: 0.456 eV per atom. As for the crystal system: tetragonal. For the final energy, the calculation gives -2.752 eV per atom.

a = 6.8350 Å, b = 6.8350 Å, c = 6.8350 Å
α = 130.49°, β = 130.49°, γ = 72.63°
Atoms (fractional coordinates):
Be 0.1116 0.6250 0.9866
Be 0.3750 0.3616 0.4866
Be 0.6384 0.1250 0.0134
Be 0.8750 0.8884 0.5134
Pb 0.2500 0.7500 0.5000
Pb 0.5000 0.5000 0.0000
Br 0.0000 0.0000 0.0000
Br 0.7500 0.2500 0.5000

=====

No. 12
Be2PbBr: relaxed, PBE-GGA.

Output
The size of the total moment comes out at 0.00 μB/cell. The value obtained for the relative energy among the computed polymorphs is 290.3 meV per atom. As for the energy relative to the elements, uncorrected: 0.649 eV per atom. As for the crystal system: orthorhombic. For the final energy, the calculation gives -2.559 eV per atom.

a = 3.6215 Å, b = 3.6215 Å, c = 7.6680 Å
α = 90.00°, β = 90.00°, γ = 123.54°
Atoms (fractional coordinates):
Be 0.0000 0.0000 0.2389
Be 0.0000 0.0000 0.7611
Pb 0.5000 0.5000 0.5000
Br 0.5000 0.5000 0.0000

=====

No. 13
Be2PbBr: relaxed, PBE-GGA.

Output
The size of the total moment comes out at 0.00 μB/cell. The value obtained for the relative energy among the computed polymorphs is 78.0 meV per atom. As for the energy relative to the elements, uncorrected: 0.437 eV per atom. As for the crystal system: tetragonal. For the final energy, the calculation gives -2.771 eV per atom.

a = 3.4397 Å, b = 3.4397 Å, c = 7.3231 Å
α = 90.00°, β = 90.00°, γ = 90.00°
Atoms (fractional coordinates):
Be 0.0000 0.0000 0.0000
Be 0.5000 0.5000 0.1463
Pb 0.5000 0.5000 0.7982
Br 0.0000 0.0000 0.3038

=====

No. 14
Be2PbBr: relaxed, PBE-GGA.

Output
The size of the total moment comes out at 0.00 μB/cell. The value obtained for the relative energy among the computed polymorphs is 127.6 meV per atom. As for the energy relative to the elements, uncorrected: 0.487 eV per atom. As for the crystal system: monoclinic. For the final energy, the calculation gives -2.722 eV per atom.

a = 4.0306 Å, b = 3.3484 Å, c = 6.1629 Å
α = 90.00°, β = 90.09°, γ = 90.00°
Atoms (fractional coordinates):
Be 0.0058 0.0000 0.1834
Be 0.9942 0.0000 0.8166
Pb 0.5000 0.5000 0.0000
Br 0.0000 0.5000 0.5000

=====

No. 15
Rb2BePbBr6: relaxed, PBE-GGA.

Output
The size of the total moment comes out at 0.00 μB/cell. The value obtained for the relative energy among the computed polymorphs is 107.5 meV per atom. As for the energy relative to the elements, uncorrected: -1.144 eV per atom. As for the crystal system: cubic. For the final energy, the calculation gives -3.085 eV per atom.

a = 7.7502 Å, b = 7.7502 Å, c = 7.7502 Å
α = 60.00°, β = 60.00°, γ = 60.00°
Atoms (fractional coordinates):
Rb 0.2500 0.2500 0.2500
Rb 0.7500 0.7500 0.7500
Be 0.0000 0.0000 0.0000
Pb 0.5000 0.5000 0.5000
Br 0.2273 0.2273 0.7727
Br 0.2273 0.7727 0.2273
Br 0.2273 0.7727 0.7727
Br 0.7727 0.2273 0.2273
Br 0.7727 0.2273 0.7727
Br 0.7727 0.7727 0.2273